Record 1
# La11Ni4Ge6, relaxed, DFT GGA-PBE
data_La11Ni4Ge6
_chemical_formula_sum 'La22 Ni8 Ge12'
_cell_length_a 18.5927
_cell_length_b 4.3914
_cell_length_c 14.1698
_cell_angle_alpha 90.00
_cell_angle_beta 106.05
_cell_angle_gamma 90.00
_symmetry_space_group_name_H-M 'C 1 2/m 1'
_symmetry_Int_Tables_number 12
loop_
_symmetry_equiv_pos_as_xyz
'x,y,z'
'-x,-y,-z'
'-x,y,-z'
'x,-y,z'
'x+1/2,y+1/2,z'
'-x+1/2,-y+1/2,-z'
'-x+1/2,y+1/2,-z'
'x+1/2,-y+1/2,z'
loop_
_atom_site_label
_atom_site_fract_x
_atom_site_fract_y
_atom_site_fract_z
La1 0.9999 0.9999 0.9999
La2 0.0467 0.5000 0.6240
La3 0.0953 0.0000 0.2844
La4 0.1440 0.0000 0.8518
La5 0.1626 0.5000 0.0938
La6 0.2137 0.0000 0.5991
Ni1 0.0597 0.0000 0.4755
Ni2 0.2482 0.0000 0.0508
Ge1 0.0141 0.5000 0.8489
Ge2 0.1286 0.5000 0.4505
Ge3 0.2385 0.5000 0.7655
# Volume (A^3/atom): 26.47
# Final energy (Ry per atom): -0.4181
# Energy of formation from the pure elements (meV/atom): -687.7
# Spin magnetization (μB per formula unit): 0.000


Record 2
# La6NiGe2, relaxed, DFT GGA-PBE
data_La6NiGe2
_chemical_formula_sum 'La6 Ni1 Ge2'
_cell_length_a 8.1848
_cell_length_b 8.1848
_cell_length_c 4.3893
_cell_angle_alpha 90.00
_cell_angle_beta 90.00
_cell_angle_gamma 120.00
_symmetry_space_group_name_H-M 'P -6 2 m'
_symmetry_Int_Tables_number 189
_symmetry_space_group_name_Hall 'P -6 -2'
loop_
_atom_site_label
_atom_site_fract_x
_atom_site_fract_y
_atom_site_fract_z
La1 0.0000 0.4323 0.0000
La2 0.0000 0.7640 0.5000
Ni1 0.0000 0.0000 0.0000
Ge1 0.3333 0.6667 0.5000
# Volume (A^3/atom): 28.29
# Final energy (Ry per atom): -0.4012
# Energy of formation from the pure elements (meV/atom): -505.6
# Spin magnetization (μB per formula unit): 0.000


Record 3
# LaNi2Ge4, relaxed, DFT GGA-PBE
data_LaNi2Ge4
_chemical_formula_sum 'La4 Ni8 Ge16'
_cell_length_a 17.9410
_cell_length_b 4.1633
_cell_length_c 6.6074
_cell_angle_alpha 90.00
_cell_angle_beta 90.00
_cell_angle_gamma 90.00
_symmetry_space_group_name_H-M 'P n m a'
_symmetry_Int_Tables_number 62
loop_
_symmetry_equiv_pos_as_xyz
'x,y,z'
'-x,-y,-z'
'-x+1/2,-y,z+1/2'
'x+1/2,y,-z+1/2'
'x+1/2,-y+1/2,-z+1/2'
'-x+1/2,y+1/2,z+1/2'
'-x,y+1/2,-z'
'x,-y+1/2,z'
loop_
_atom_site_label
_atom_site_fract_x
_atom_site_fract_y
_atom_site_fract_z
La1 0.1395 0.2500 0.0242
Ni1 0.0320 0.7500 0.7458
Ni2 0.2065 0.2500 0.5023
Ge1 0.0248 0.7500 0.1425
Ge2 0.0665 0.2500 0.5203
Ge3 0.1784 0.7500 0.7018
Ge4 0.2042 0.7500 0.3034
# Volume (A^3/atom): 17.63
# Final energy (Ry per atom): -0.3998
# Energy of formation from the pure elements (meV/atom): -445.3
# Spin magnetization (μB per formula unit): 0.000


Record 4
# LaNi9Ge4, relaxed, DFT GGA-PBE
data_LaNi9Ge4
_chemical_formula_sum 'La4 Ni36 Ge16'
_cell_length_a 8.0017
_cell_length_b 8.0017
_cell_length_c 11.8038
_cell_angle_alpha 90.00
_cell_angle_beta 90.00
_cell_angle_gamma 90.00
_symmetry_space_group_name_H-M 'I 4/m c m'
_symmetry_Int_Tables_number 140
_symmetry_space_group_name_Hall '-I 4 2c'
loop_
_atom_site_label
_atom_site_fract_x
_atom_site_fract_y
_atom_site_fract_z
La1 0.0000 0.0000 0.2500
Ni1 0.0000 0.5000 0.0000
Ni2 0.0672 0.2045 0.0000
Ni3 0.1247 0.3753 0.1815
Ge1 0.1733 0.3267 0.3784
# Volume (A^3/atom): 13.50
# Final energy (Ry per atom): -0.4268
# Energy of formation from the pure elements (meV/atom): -419.2
# Spin magnetization (μB per formula unit): 0.000


Record 5
# LaNi12Ge4, relaxed, DFT GGA-PBE
data_LaNi12Ge4
_chemical_formula_sum 'La2 Ni24 Ge8'
_cell_length_a 7.9701
_cell_length_b 7.9701
_cell_length_c 7.9701
_cell_angle_alpha 90.00
_cell_angle_beta 90.00
_cell_angle_gamma 90.00
_symmetry_space_group_name_H-M 'I m -3'
_symmetry_Int_Tables_number 204
_symmetry_space_group_name_Hall '-I 2 2 3'
loop_
_atom_site_label
_atom_site_fract_x
_atom_site_fract_y
_atom_site_fract_z
La1 0.0000 0.0000 0.0000
Ni1 0.0000 0.3558 0.1547
Ge1 0.2500 0.2500 0.2500
# Volume (A^3/atom): 14.89
# Final energy (Ry per atom): -0.3926
# Energy of formation from the pure elements (meV/atom): 116.0
# Spin magnetization (μB per formula unit): 0.000


Record 6
# La3NiGe, relaxed, DFT GGA-PBE
data_La3NiGe
_chemical_formula_sum 'La3 Ni1 Ge1'
_cell_length_a 5.3380
_cell_length_b 5.3380
_cell_length_c 5.3380
_cell_angle_alpha 90.00
_cell_angle_beta 90.00
_cell_angle_gamma 90.00
_symmetry_space_group_name_H-M 'P m -3 m'
_symmetry_Int_Tables_number 221
_symmetry_space_group_name_Hall '-P 4 2 3'
loop_
_atom_site_label
_atom_site_fract_x
_atom_site_fract_y
_atom_site_fract_z
La1 0.0000 0.0000 0.5000
Ni1 0.0000 0.0000 0.0000
Ge1 0.5000 0.5000 0.5000
# Volume (A^3/atom): 30.42
# Final energy (Ry per atom): -0.3872
# Energy of formation from the pure elements (meV/atom): -231.6
# Energy above the most stable polymorph in this dataset (kcal/mol of atoms): 4.836
# Spin magnetization (μB per formula unit): 0.000